This record from Alexandria describes a geometry-optimized LaYIr2 structure. The functional is GGA-PBE.

Values from the calculation:
The symmetry is Fm-3m (225). As for the formation enthalpy at 0 K: -0.6430 eV/atom.

The structure in extended XYZ format:
```
4
Lattice="0.000 3.518 3.518 3.518 0.000 3.518 3.518 3.518 0.000" Properties=species:S:1:pos:R:3 pbc="T T T"
Ir 5.278 5.278 5.278
Ir 1.759 1.759 1.759
La 3.518 3.518 3.518
Y 0.000 0.000 0.000
```



This record from Alexandria describes a geometry-optimized LaPdOF2 structure. The functional is GGA-PBE.

Values from the calculation:
Its raw formation energy is -1.7559 eV/atom. The symmetry is P4/mmm (123).

The structure in extended XYZ format:
```
5
Lattice="-0.741 2.037 3.694 -0.356 -3.767 2.006 4.164 0.040 0.813" Properties=species:S:1:pos:R:3 pbc="T T T"
F -0.178 -1.884 1.003
F -0.371 1.019 1.847
Pd 0.000 0.000 0.000
O 2.082 0.020 0.407
La 1.533 -0.845 3.257
```



This record from Alexandria describes a geometry-optimized NaBPb structure. The functional is GGA-PBE.

Values from the calculation:
The symmetry is P2/m (10). As for the formation enthalpy at 0 K: 0.3605 eV/atom.

The structure in extended XYZ format:
```
6
Lattice="-6.326 -0.348 -0.975 0.650 -1.511 -3.677 -1.442 -4.916 1.765" Properties=species:S:1:pos:R:3 pbc="T T T"
B -0.930 -2.710 -1.258
B -6.188 -4.065 -1.630
Na -4.727 -1.867 -2.275
Na -2.391 -4.908 -0.612
Pb -2.505 -1.537 0.189
Pb -5.263 -3.727 0.602
```



This record from Alexandria describes a geometry-optimized La2HoAl12Co3 structure. The functional is GGA-PBE.

Values from the calculation:
The symmetry is R-3m (166). As for the formation enthalpy at 0 K: -0.0131 eV/atom.

The structure in extended XYZ format:
```
18
Lattice="-3.068 5.996 -4.272 -7.243 -1.254 -3.097 -6.003 4.006 3.396" Properties=species:S:1:pos:R:3 pbc="T T T"
Al -8.037 3.811 -5.033
Al -11.486 5.870 -4.586
Al -6.419 6.197 -3.795
Al -11.030 7.807 -2.195
Al -4.827 2.879 0.613
Al -9.894 2.552 -0.178
Al -3.747 3.611 -2.210
Al -9.062 1.607 -3.051
Al -7.252 7.141 -0.922
Al -5.284 0.941 -1.778
Al -8.277 4.937 1.059
Al -12.567 5.137 -1.763
Co -3.621 -0.627 -1.549
Co -1.534 2.998 -2.136
Co -3.001 2.003 1.698
Ho 0.000 0.000 0.000
La -6.807 3.650 -1.658
La -9.506 5.098 -2.315
```